# 1
VASP calculation (PBE-GGA) on crystalline Nd4Tm3Th at its relaxed geometry.

symmetry = C2/m, No. 12
electronic total energy = -38.51 eV per cell
energy relative to the elements = 0.1749 eV per atom

POSCAR file:
```
Nd4Tm3Th
1.0
-0.2204 -1.4370 3.1343
6.0395 -3.0031 -0.9522
2.3624 11.2183 3.4051
Tm Th Nd
3 1 4
Direct
0.1217 0.8826 0.2433
0.8783 0.1174 0.7567
0.0000 0.5000 0.0000
0.5000 0.0000 0.0000
0.1214 0.3645 0.2429
0.2589 0.7673 0.5178
0.8786 0.6355 0.7571
0.7411 0.2327 0.4822
```

---

# 2
VASP calculation (PBE-GGA) on crystalline Pr13Hg2 at its relaxed geometry.

symmetry = P-1, No. 2
electronic total energy = -64.13 eV per cell
energy relative to the elements = -0.0930 eV per atom

POSCAR file:
```
Pr13Hg2
1.0
-0.6111 0.5775 -6.5853
-7.4597 -4.3403 1.5302
-1.6110 9.5474 -1.0110
Pr Hg
13 2
Direct
0.2080 0.8204 0.2320
0.4766 0.2056 0.1524
0.5400 0.3710 0.5848
0.7489 0.5954 0.0519
0.0000 0.0000 0.0000
0.5234 0.7944 0.8476
0.7920 0.1796 0.7680
0.4600 0.6290 0.4152
0.7132 0.9870 0.3516
0.0540 0.5803 0.7052
0.2868 0.0130 0.6484
0.2511 0.4046 0.9481
0.9460 0.4197 0.2948
0.8737 0.7905 0.5493
0.1263 0.2095 0.4507
```

---

# 3
VASP calculation (PBE-GGA) on crystalline MnNiTe at its relaxed geometry.

symmetry = I4mm, No. 107
electronic total energy = -17.63 eV per cell
formation energy without anion corrections = 153 meV per atom

POSCAR file:
```
MnNiTe
1.0
4.6270 -0.0998 0.0000
1.9852 4.1806 0.0000
-3.3061 -2.0404 2.5150
Ni Te Mn
1 1 1
Direct
0.3366 0.3366 0.0000
0.6641 0.6641 0.0000
0.9993 0.9993 0.0000
```

---

# 4
VASP calculation (PBE-GGA) on crystalline BP2H2 at its relaxed geometry.

symmetry = P4/mbm, No. 127
electronic total energy = -39.14 eV per cell

POSCAR file:
```
BP2H2
1.0
5.1525 0.0000 0.0000
0.0000 5.1525 0.0000
0.0000 0.0000 3.2020
H P B
4 4 2
Direct
0.0528 0.4472 0.0000
0.9472 0.5528 0.0000
0.5528 0.0528 0.0000
0.4472 0.9472 0.0000
0.7508 0.2508 0.5000
0.7492 0.7508 0.5000
0.2492 0.7492 0.5000
0.2508 0.2492 0.5000
0.5000 0.5000 0.0000
0.0000 0.0000 0.0000
```